Entry 1:
5
Lattice="5.0989 0.0000 0.0000 0.0000 5.0989 0.0000 0.0000 0.0000 5.0874" Properties=species:S:1:pos:R:3 comment="PBEsol Sb2TeMoRu, relaxed" mass_density_g_cm3=7.13 sg="No. 123" n_ef_per_ev_fu=8.819 vol_a3_per_cell=132.26 raw_formation_energy_mev_per_atom=1344.8 pbc="T T T"
Sb 0.0000 2.5494 0.0000
Sb 2.5494 0.0000 0.0000
Te 0.0000 0.0000 2.5437
Mo 0.0000 0.0000 0.0000
Ru 2.5494 2.5494 2.5437


Entry 2:
4
Lattice="4.7419 0.0000 0.0000 0.0000 2.8185 0.0000 -2.3358 0.0000 4.5580" Properties=species:S:1:pos:R:3 comment="PBEsol ScMoRu2, relaxed" mass_density_g_cm3=9.35 sg="No. 10" n_ef_per_ev_fu=3.702 vol_a3_per_cell=60.92 delta_e_f_ev_per_atom=0.0961 pbc="T T T"
Sc 0.0000 0.0000 0.0000
Mo 1.2030 1.4093 2.2790
Ru -1.1679 0.0000 2.2790
Ru 2.3709 1.4093 0.0000


Entry 3:
4
Lattice="2.7195 0.0000 0.0000 0.0000 2.7195 0.0000 0.0000 0.0000 8.3506" Properties=species:S:1:pos:R:3 comment="PBEsol ScMoRu2, relaxed" mass_density_g_cm3=9.22 sg="No. 99" n_ef_per_ev_fu=2.450 vol_a3_per_cell=61.76 delta_e_f_ev_per_atom=0.1022 pbc="T T T"
Sc 0.0000 0.0000 0.0000
Mo 1.3598 1.3598 2.3687
Ru 0.0000 0.0000 4.4873
Ru 1.3598 1.3598 6.1641


Entry 4:
4
Lattice="3.0599 0.0000 0.0000 0.0000 3.0599 0.0000 0.0000 0.0000 6.4167" Properties=species:S:1:pos:R:3 comment="PBEsol ScMoRu2, relaxed" mass_density_g_cm3=9.48 sg="No. 123" n_ef_per_ev_fu=2.972 vol_a3_per_cell=60.08 delta_e_f_ev_per_atom=-0.2109 pbc="T T T"
Sc 0.0000 0.0000 0.0000
Mo 0.0000 0.0000 3.2084
Ru 1.5299 1.5299 1.6460
Ru 1.5299 1.5299 4.7707


Entry 5:
4
Lattice="4.6141 0.0000 0.0000 0.0000 4.6141 0.0000 0.0000 0.0000 3.1261" Properties=species:S:1:pos:R:3 comment="PBEsol Sc2MoRu, relaxed" mass_density_g_cm3=7.16 sg="No. 123" n_ef_per_ev_fu=5.305 vol_a3_per_cell=66.55 delta_e_f_ev_per_atom=-0.0035 relative_energy_ev_per_atom=0.145 pbc="T T T"
Sc 0.0000 2.3070 0.0000
Sc 2.3070 0.0000 0.0000
Mo 0.0000 0.0000 1.5631
Ru 2.3070 2.3070 1.5631


Entry 6:
4
Lattice="2.9644 0.0000 0.0000 0.0000 4.3811 0.0000 -1.3594 0.0000 5.2516" Properties=species:S:1:pos:R:3 comment="PBEsol Sc2MoRu, relaxed" mass_density_g_cm3=6.99 sg="No. 6" n_ef_per_ev_fu=3.410 vol_a3_per_cell=68.20 delta_e_f_ev_per_atom=-0.0228 relative_energy_ev_per_atom=0.125 pbc="T T T"
Sc 0.0000 0.0000 0.0000
Sc -0.1791 2.1905 3.7346
Mo 1.7526 2.1905 1.3356
Ru 0.8916 0.0000 2.4446


Entry 7:
16
Lattice="6.4211 0.0000 0.0000 0.0000 6.4211 0.0000 0.0000 0.0000 6.4211" Properties=species:S:1:pos:R:3 comment="PBEsol Sc2MoRu, relaxed" mass_density_g_cm3=7.20 sg="No. 216" n_ef_per_ev_fu=5.031 vol_a3_per_cell=264.74 delta_e_f_ev_per_atom=0.0148 relative_energy_ev_per_atom=0.163 pbc="T T T"
Sc 0.0000 0.0000 0.0000
Sc 0.0000 3.2105 3.2105
Sc 1.6053 1.6053 1.6053
Sc 1.6053 4.8158 4.8158
Sc 3.2105 0.0000 3.2105
Sc 3.2105 3.2105 0.0000
Sc 4.8158 1.6053 4.8158
Sc 4.8158 4.8158 1.6053
Mo 0.0000 0.0000 3.2105
Mo 0.0000 3.2105 0.0000
Mo 3.2105 0.0000 0.0000
Mo 3.2105 3.2105 3.2105
Ru 1.6053 1.6053 4.8158
Ru 1.6053 4.8158 1.6053
Ru 4.8158 1.6053 1.6053
Ru 4.8158 4.8158 4.8158


Entry 8:
8
Lattice="3.1580 0.0000 0.0000 0.0000 4.5710 0.0000 0.0000 0.0000 9.4769" Properties=species:S:1:pos:R:3 comment="PBEsol Sc2MoRu, relaxed" mass_density_g_cm3=6.97 sg="No. 44" n_ef_per_ev_fu=4.338 vol_a3_per_cell=136.80 delta_e_f_ev_per_atom=-0.1483 relative_energy_ev_per_atom=0.000 pbc="T T T"
Sc 0.0000 0.0000 0.0000
Sc 0.0000 2.2855 2.1091
Sc 1.5790 0.0000 6.8475
Sc 1.5790 2.2855 4.7384
Mo 0.0000 2.2855 7.2351
Mo 1.5790 0.0000 2.4966
Ru 0.0000 0.0000 4.5257
Ru 1.5790 2.2855 9.2642